No. 1
Material: BaH2W
Method: DFT, GGA-PBEsol
State: optimized geometry Values from VASP.

* Fermi-level density of states: 2.9 states/eV/f.u.
* raw total energy: -5.152 eV per atom
* total magnetization: 0.00 μB per cell

Cell and atoms, written as Quantum ESPRESSO input:
```
&SYSTEM
  ibrav = 0, nat = 16, ntyp = 3
/
ATOMIC_SPECIES
Ba 137.33 Ba.upf
H 1.01 H.upf
W 183.84 W.upf
ATOMIC_POSITIONS angstrom
Ba 0.0000 0.0000 0.0000
Ba 0.0000 2.7626 1.8848
Ba 2.7626 0.0000 5.6543
Ba 2.7626 2.7626 3.7696
H 0.8039 1.3813 4.7120
H 1.3813 3.5665 6.5967
H 1.3813 4.7213 2.8272
H 1.9587 1.3813 0.9424
H 3.5665 4.1439 0.9424
H 4.1439 0.8039 2.8272
H 4.1439 1.9587 6.5967
H 4.7213 4.1439 4.7120
W 0.0000 0.0000 3.7696
W 0.0000 2.7626 5.6543
W 2.7626 0.0000 1.8848
W 2.7626 2.7626 0.0000
CELL_PARAMETERS angstrom
5.5252 0.0000 0.0000
0.0000 5.5252 0.0000
0.0000 0.0000 7.5391
```

=====

No. 2
Material: MnCo3
Method: DFT, GGA-PBEsol
State: optimized geometry Values from VASP.

* formation enthalpy at 0 K: 0.153 eV per atom
* Fermi-level density of states: 5.6 states/eV/f.u.
* total magnetization: 7.75 μB per cell

Cell and atoms, written as Quantum ESPRESSO input:
```
&SYSTEM
  ibrav = 0, nat = 4, ntyp = 2
/
ATOMIC_SPECIES
Mn 54.94 Mn.upf
Co 58.93 Co.upf
ATOMIC_POSITIONS angstrom
Mn 0.0000 0.0000 0.0000
Co 0.0003 1.9746 3.3914
Co 0.8179 0.0000 2.2647
Co 1.6355 1.9746 1.1380
CELL_PARAMETERS angstrom
2.4289 0.0000 0.0000
0.0000 3.9493 0.0000
-0.7931 0.0000 4.5294
```

=====

No. 3
Material: Ti2Ge2Pb
Method: DFT, GGA-PBEsol
State: optimized geometry Values from VASP.

* formation enthalpy at 0 K: -0.218 eV per atom
* Fermi-level density of states: 3.3 states/eV/f.u.
* total magnetization: 0.00 μB per cell

Cell and atoms, written as Quantum ESPRESSO input:
```
&SYSTEM
  ibrav = 0, nat = 10, ntyp = 3
/
ATOMIC_SPECIES
Ti 47.87 Ti.upf
Ge 72.64 Ge.upf
Pb 207.20 Pb.upf
ATOMIC_POSITIONS angstrom
Ti 0.0000 0.0000 1.5198
Ti 0.0000 0.0000 12.4649
Ti 1.8086 1.8086 5.4725
Ti 1.8086 1.8086 8.5122
Ge 0.0000 1.8086 3.4962
Ge 0.0000 1.8086 10.4886
Ge 1.8086 0.0000 3.4962
Ge 1.8086 0.0000 10.4886
Pb 0.0000 0.0000 6.9924
Pb 1.8086 1.8086 0.0000
CELL_PARAMETERS angstrom
3.6171 0.0000 0.0000
0.0000 3.6171 0.0000
0.0000 0.0000 13.9848
```

=====

No. 4
Material: CsReHg2F
Method: DFT, GGA-PBEsol
State: optimized geometry Values from VASP.

* formation energy (no corrections): 4.956 eV per formula unit
* total magnetization: 5.01 μB per cell

Cell and atoms, written as Quantum ESPRESSO input:
```
&SYSTEM
  ibrav = 0, nat = 5, ntyp = 4
/
ATOMIC_SPECIES
Cs 132.91 Cs.upf
Re 186.21 Re.upf
Hg 200.59 Hg.upf
F 19.00 F.upf
ATOMIC_POSITIONS angstrom
Cs 0.0000 0.0000 0.0000
Re 3.4649 3.4649 2.5550
Hg 0.0000 3.4649 0.0000
Hg 3.4649 0.0000 0.0000
F 0.0000 0.0000 2.5550
CELL_PARAMETERS angstrom
6.9299 0.0000 0.0000
0.0000 6.9299 0.0000
0.0000 0.0000 5.1099
```